# 1
# TbLu4Th, optimized geometry, DFT PBE
data_TbLu4Th
_chemical_formula_sum 'Tb4 Lu16 Th4'
_cell_length_a 9.186
_cell_length_b 9.186
_cell_length_c 9.186
_cell_angle_alpha 90.00
_cell_angle_beta 90.00
_cell_angle_gamma 90.00
_symmetry_space_group_name_H-M 'F -4 3 m'
_symmetry_Int_Tables_number 216
_symmetry_space_group_name_Hall 'F -4 2 3'
loop_
_atom_site_label
_atom_site_type_symbol
_atom_site_fract_x
_atom_site_fract_y
_atom_site_fract_z
Tb1 Tb 0.000 0.000 0.000
Lu1 Lu 0.125 0.125 0.375
Th1 Th 0.250 0.250 0.750
# Formation energy, kJ per mole of atoms: 31.3
# Total magnetization, μB/f.u.: 5.17



# 2
# Tb2LuTh, optimized geometry, DFT PBE
data_Tb2LuTh
_chemical_formula_sum 'Tb6 Lu3 Th3'
_cell_length_a 3.5553
_cell_length_b 3.5553
_cell_length_c 34.5487
_cell_angle_alpha 90.00
_cell_angle_beta 90.00
_cell_angle_gamma 120.00
_symmetry_space_group_name_H-M 'R -3 m'
_symmetry_Int_Tables_number 166
_symmetry_space_group_name_Hall '-R 3 2"'
loop_
_atom_site_label
_atom_site_type_symbol
_atom_site_fract_x
_atom_site_fract_y
_atom_site_fract_z
Tb1 Tb 0.0000 0.0000 0.2505
Lu1 Lu 0.0000 0.0000 0.5000
Th1 Th 0.0000 0.0000 0.0000
# Energy above the lowest structure with this stoichiometry, eV/atom: 0.0000
# Formation energy, kJ per mole of atoms: 3.1
# Total magnetization, μB/f.u.: 0.00



# 3
# Tb2LuTh, optimized geometry, DFT PBE
data_Tb2LuTh
_chemical_formula_sum 'Tb2 Lu1 Th1'
_cell_length_a 4.982
_cell_length_b 4.982
_cell_length_c 5.039
_cell_angle_alpha 90.00
_cell_angle_beta 90.00
_cell_angle_gamma 90.00
_symmetry_space_group_name_H-M 'P 4/m m m'
_symmetry_Int_Tables_number 123
_symmetry_space_group_name_Hall '-P 4 2'
loop_
_atom_site_label
_atom_site_type_symbol
_atom_site_fract_x
_atom_site_fract_y
_atom_site_fract_z
Tb1 Tb 0.000 0.500 0.000
Lu1 Lu 0.000 0.000 0.500
Th1 Th 0.500 0.500 0.500
# Energy above the lowest structure with this stoichiometry, eV/atom: 0.0033
# Formation energy, kJ per mole of atoms: 3.4
# Total magnetization, μB/f.u.: 0.00



# 4
# Tb2LuTh, optimized geometry, DFT PBE
data_Tb2LuTh
_chemical_formula_sum 'Tb2 Lu1 Th1'
_cell_length_a 3.548
_cell_length_b 3.548
_cell_length_c 10.030
_cell_angle_alpha 90.00
_cell_angle_beta 90.00
_cell_angle_gamma 90.00
_symmetry_space_group_name_H-M 'P 4/m m m'
_symmetry_Int_Tables_number 123
_symmetry_space_group_name_Hall '-P 4 2'
loop_
_atom_site_label
_atom_site_type_symbol
_atom_site_fract_x
_atom_site_fract_y
_atom_site_fract_z
Tb1 Tb 0.000 0.000 0.247
Lu1 Lu 0.500 0.500 0.500
Th1 Th 0.500 0.500 0.000
# Energy above the lowest structure with this stoichiometry, eV/atom: 0.0035
# Formation energy, kJ per mole of atoms: 3.4
# Total magnetization, μB/f.u.: 0.00



# 5
# TbLuThTl, optimized geometry, DFT PBE
data_TbLuThTl
_chemical_formula_sum 'Tb4 Lu4 Th4 Tl4'
_cell_length_a 7.759
_cell_length_b 7.759
_cell_length_c 7.759
_cell_angle_alpha 90.00
_cell_angle_beta 90.00
_cell_angle_gamma 90.00
_symmetry_space_group_name_H-M 'F -4 3 m'
_symmetry_Int_Tables_number 216
_symmetry_space_group_name_Hall 'F -4 2 3'
loop_
_atom_site_label
_atom_site_type_symbol
_atom_site_fract_x
_atom_site_fract_y
_atom_site_fract_z
Tb1 Tb 0.000 0.000 0.000
Lu1 Lu 0.250 0.250 0.250
Th1 Th 0.000 0.000 0.500
Tl1 Tl 0.250 0.250 0.750
# Formation energy, kJ per mole of atoms: 2.2
# Total magnetization, μB/f.u.: 0.00



# 6
# TbTmLuTh, optimized geometry, DFT PBE
data_TbTmLuTh
_chemical_formula_sum 'Tb4 Tm4 Lu4 Th4'
_cell_length_a 7.936
_cell_length_b 7.936
_cell_length_c 7.936
_cell_angle_alpha 90.00
_cell_angle_beta 90.00
_cell_angle_gamma 90.00
_symmetry_space_group_name_H-M 'F -4 3 m'
_symmetry_Int_Tables_number 216
_symmetry_space_group_name_Hall 'F -4 2 3'
loop_
_atom_site_label
_atom_site_type_symbol
_atom_site_fract_x
_atom_site_fract_y
_atom_site_fract_z
Tb1 Tb 0.000 0.000 0.000
Tm1 Tm 0.250 0.250 0.750
Lu1 Lu 0.250 0.250 0.250
Th1 Th 0.000 0.000 0.500
# Formation energy, kJ per mole of atoms: 10.9
# Total magnetization, μB/f.u.: 0.00



# 7
# TbLuThZn, optimized geometry, DFT PBE
data_TbLuThZn
_chemical_formula_sum 'Tb4 Lu4 Th4 Zn4'
_cell_length_a 7.556
_cell_length_b 7.556
_cell_length_c 7.556
_cell_angle_alpha 90.00
_cell_angle_beta 90.00
_cell_angle_gamma 90.00
_symmetry_space_group_name_H-M 'F -4 3 m'
_symmetry_Int_Tables_number 216
_symmetry_space_group_name_Hall 'F -4 2 3'
loop_
_atom_site_label
_atom_site_type_symbol
_atom_site_fract_x
_atom_site_fract_y
_atom_site_fract_z
Tb1 Tb 0.000 0.000 0.000
Lu1 Lu 0.250 0.250 0.750
Th1 Th 0.000 0.000 0.500
Zn1 Zn 0.250 0.250 0.250
# Formation energy, kJ per mole of atoms: 6.4
# Total magnetization, μB/f.u.: 0.02



# 8
# TbLuTi, optimized geometry, DFT PBE
data_TbLuTi
_chemical_formula_sum 'Tb1 Lu1 Ti1'
_cell_length_a 5.2295
_cell_length_b 5.2295
_cell_length_c 3.2805
_cell_angle_alpha 90.00
_cell_angle_beta 90.00
_cell_angle_gamma 120.00
_symmetry_space_group_name_H-M 'P -6 m 2'
_symmetry_Int_Tables_number 187
_symmetry_space_group_name_Hall 'P -6 2'
loop_
_atom_site_label
_atom_site_type_symbol
_atom_site_fract_x
_atom_site_fract_y
_atom_site_fract_z
Tb1 Tb 0.0000 0.0000 0.0000
Lu1 Lu 0.3333 0.6667 0.5000
Ti1 Ti 0.6667 0.3333 0.5000
# Formation energy, kJ per mole of atoms: 21.7
# Total magnetization, μB/f.u.: 1.60